# 1
Material: Pr4OsPtI2
Method: DFT, GGA-PBE
State: relaxed

```
8
Lattice="7.374 0.000 0.000 0.000 4.267 0.000 -2.456 0.000 8.173" Properties=species:S:1:pos:R:3 pbc="T T T"
Pr 1.150 0.000 1.534
Pr -0.082 2.134 6.662
Pr 5.000 2.134 1.512
Pr 3.769 0.000 6.640
Os 0.000 2.134 0.000
Pt 3.687 0.000 0.000
I -1.228 0.000 4.087
I 2.459 2.134 4.087
```

Values from the calculation:
M_tot = 0.000 μB per atom
Raw formation energy = -856 meV/atom
VASP energy = -5.792 eV/atom
SG = No. 10
Calculated volume = 32.151 Å³/atom

---

# 2
Material: Pr6Os2PtI3
Method: DFT, GGA-PBE
State: relaxed

```
12
Lattice="3.679 -6.372 0.000 3.679 6.372 0.000 -2.451 0.000 8.184" Properties=species:S:1:pos:R:3 pbc="T T T"
Pr -0.046 2.203 6.659
Pr 1.133 0.000 1.519
Pr -0.046 -2.203 6.659
Pr 4.951 2.203 1.525
Pr 3.772 0.000 6.665
Pr 4.951 -2.203 1.525
Os 3.679 4.247 0.000
Os 3.679 -4.247 0.000
Pt 3.679 0.000 0.000
I -1.226 0.000 4.092
I 2.453 2.129 4.092
I 2.453 -2.129 4.092
```

Values from the calculation:
M_tot = 0.000 μB per atom
Raw formation energy = -747 meV/atom
VASP energy = -5.899 eV/atom
SG = No. 12
Calculated volume = 31.972 Å³/atom

---

# 3
Material: Pr8Os3PtI4
Method: DFT, GGA-PBE
State: relaxed

```
16
Lattice="4.239 2.448 8.188 -4.239 2.448 8.188 0.000 -4.895 8.188" Properties=species:S:1:pos:R:3 pbc="T T T"
Pr -2.194 -1.267 13.801
Pr 0.000 0.000 5.632
Pr 0.000 -2.534 10.764
Pr -2.194 1.267 10.764
Pr 2.194 -1.267 13.802
Pr 0.000 2.534 13.802
Pr 0.000 0.000 18.934
Pr 2.194 1.267 10.764
Os -4.239 0.000 12.283
Os -2.120 1.224 4.094
Os 2.120 1.224 4.094
Pt 0.000 0.000 12.283
I 0.000 0.000 0.000
I -2.120 -1.224 8.188
I -2.120 1.224 16.377
I 0.000 2.448 8.188
```

Values from the calculation:
M_tot = 0.000 μB per atom
Raw formation energy = -678 meV/atom
VASP energy = -5.938 eV/atom
SG = No. 166
Calculated volume = 31.866 Å³/atom

---

# 4
Material: Pr6Os2RhI3
Method: DFT, GGA-PBE
State: relaxed

```
12
Lattice="3.653 -6.328 0.000 3.653 6.328 0.000 -2.438 0.000 8.200" Properties=species:S:1:pos:R:3 pbc="T T T"
Pr -0.024 2.147 6.674
Pr 1.175 0.000 1.527
Pr -0.024 -2.147 6.674
Pr 4.892 2.147 1.526
Pr 3.693 0.000 6.674
Pr 4.892 -2.147 1.526
Os 3.653 4.221 0.000
Os 3.653 -4.221 0.000
Rh 3.653 0.000 0.000
I -1.219 0.000 4.100
I 2.434 2.117 4.100
I 2.434 -2.117 4.100
```

Values from the calculation:
M_tot = 0.000 μB per atom
Raw formation energy = -650 meV/atom
VASP energy = -5.911 eV/atom
SG = No. 12
Calculated volume = 31.593 Å³/atom

---

# 5
Material: Pr8OsRh3I4
Method: DFT, GGA-PBE
State: relaxed

```
16
Lattice="7.293 -4.204 0.000 7.293 4.204 0.000 -4.872 0.000 8.223" Properties=species:S:1:pos:R:3 pbc="T T T"
Pr -0.046 0.000 5.648
Pr 3.658 2.135 5.648
Pr 6.055 2.135 2.575
Pr 2.428 0.000 2.598
Pr 7.285 0.000 5.625
Pr 3.658 -2.135 5.648
Pr 6.055 -2.135 2.575
Pr 9.759 0.000 2.576
Os -2.436 0.000 4.112
Rh 1.210 2.102 4.112
Rh 1.210 -2.102 4.112
Rh 4.857 0.000 4.112
I 0.000 0.000 0.000
I 3.646 2.102 0.000
I 3.646 -2.102 0.000
I 7.293 0.000 0.000
```

Values from the calculation:
M_tot = 0.000 μB per atom
Raw formation energy = -838 meV/atom
VASP energy = -5.696 eV/atom
SG = No. 12
Calculated volume = 31.512 Å³/atom

---

# 6
Material: Pr8Os3SI4
Method: DFT, GGA-PBE
State: relaxed

```
16
Lattice="4.261 2.460 8.107 -4.261 2.460 8.107 0.000 -4.921 8.107" Properties=species:S:1:pos:R:3 pbc="T T T"
Pr -2.220 -1.282 13.652
Pr 0.000 0.000 5.597
Pr 0.000 -2.563 10.669
Pr -2.220 1.282 10.669
Pr 2.220 -1.282 13.652
Pr 0.000 2.563 13.652
Pr 0.000 0.000 18.723
Pr 2.220 1.282 10.669
Os -4.261 0.000 12.160
Os -2.131 1.230 4.053
Os 2.131 1.230 4.053
S 0.000 0.000 12.160
I 0.000 0.000 0.000
I -2.131 -1.230 8.107
I -2.131 1.230 16.214
I 0.000 2.460 8.107
```

Values from the calculation:
M_tot = 0.000 μB per atom
Raw formation energy = -775 meV/atom
VASP energy = -5.916 eV/atom
SG = No. 166
Calculated volume = 31.868 Å³/atom

---

# 7
Material: Pr6SiOs2I3
Method: DFT, GGA-PBE
State: relaxed

```
12
Lattice="3.715 -6.439 0.000 3.715 6.439 0.000 -2.500 0.000 8.076" Properties=species:S:1:pos:R:3 pbc="T T T"
Pr -0.071 2.248 6.556
Pr 1.121 0.000 1.515
Pr -0.071 -2.248 6.556
Pr 5.001 2.248 1.520
Pr 3.809 0.000 6.561
Pr 5.001 -2.248 1.520
Si 3.715 0.000 0.000
Os 3.715 4.291 0.000
Os 3.715 -4.291 0.000
I -1.250 0.000 4.038
I 2.465 2.107 4.038
I 2.465 -2.107 4.038
```

Values from the calculation:
M_tot = 0.000 μB per atom
Raw formation energy = -652 meV/atom
VASP energy = -5.753 eV/atom
SG = No. 12
Calculated volume = 32.197 Å³/atom

---

# 8
Material: OsPtI3
Method: DFT, GGA-PBE
State: relaxed

```
5
Lattice="5.336 0.000 0.000 0.000 5.336 0.000 0.000 0.000 5.336" Properties=species:S:1:pos:R:3 pbc="T T T"
Os 0.000 0.000 0.000
Pt 2.668 2.668 2.668
I 0.000 0.000 2.668
I 0.000 2.668 0.000
I 2.668 0.000 0.000
```

Values from the calculation:
M_tot = 0.364 μB per atom
Raw formation energy = 1305 meV/atom
VASP energy = -3.079 eV/atom
SG = No. 221
Energy above the lowest structure with this stoichiometry = 0.000 eV per atom
Calculated volume = 30.385 Å³/atom

---

# 9
Material: OsPt2I
Method: DFT, GGA-PBE
State: relaxed

```
8
Lattice="-3.321 3.321 4.436 3.321 -3.321 4.436 3.321 3.321 -4.436" Properties=species:S:1:pos:R:3 pbc="T T T"
Os 0.000 0.000 0.000
Os 0.000 3.321 2.218
Pt 4.981 1.384 -1.109
Pt 1.384 1.660 1.109
Pt -1.660 1.936 3.327
Pt 1.936 1.660 5.545
I 3.321 0.000 2.218
I 0.000 0.000 4.436
```

Values from the calculation:
M_tot = 0.000 μB per atom
Raw formation energy = 947 meV/atom
VASP energy = -5.268 eV/atom
SG = No. 122
Energy above the lowest structure with this stoichiometry = 0.000 eV per atom
Calculated volume = 24.458 Å³/atom

---

# 10
Material: Os2Pt2I
Method: DFT, GGA-PBE
State: relaxed

```
5
Lattice="-1.916 1.916 6.227 1.916 -1.916 6.227 1.916 1.916 -6.227" Properties=species:S:1:pos:R:3 pbc="T T T"
Os 0.000 0.000 1.232
Os 0.000 0.000 11.222
Pt 1.916 0.000 3.114
Pt 0.000 1.916 3.114
I 0.000 0.000 6.227
```

Values from the calculation:
M_tot = 0.000 μB per atom
Raw formation energy = 877 meV/atom
VASP energy = -6.341 eV/atom
SG = No. 139
Energy above the lowest structure with this stoichiometry = 0.044 eV per atom
Calculated volume = 18.296 Å³/atom

---

# 11
Material: Os2Pt2I
Method: DFT, GGA-PBE
State: relaxed

```
10
Lattice="7.015 0.000 0.000 0.000 7.015 0.000 0.000 0.000 3.598" Properties=species:S:1:pos:R:3 pbc="T T T"
Os 0.893 2.615 0.000
Os 2.615 6.122 0.000
Os 4.400 0.893 0.000
Os 6.122 4.400 0.000
Pt 1.134 4.642 1.799
Pt 2.373 1.134 1.799
Pt 4.642 5.881 1.799
Pt 5.881 2.373 1.799
I 0.000 0.000 0.000
I 3.508 3.508 0.000
```

Values from the calculation:
M_tot = 0.000 μB per atom
Raw formation energy = 833 meV/atom
VASP energy = -6.385 eV/atom
SG = No. 127
Energy above the lowest structure with this stoichiometry = 0.000 eV per atom
Calculated volume = 17.708 Å³/atom

---

# 12
Material: OsPt2I
Method: DFT, GGA-PBE
State: relaxed

```
4
Lattice="0.000 3.284 3.284 3.284 0.000 3.284 3.284 3.284 0.000" Properties=species:S:1:pos:R:3 pbc="T T T"
Os 0.000 0.000 0.000
Pt 1.642 1.642 1.642
Pt 4.926 4.926 4.926
I 3.284 3.284 3.284
```

Values from the calculation:
M_tot = 0.000 μB per atom
Raw formation energy = 1067 meV/atom
VASP energy = -5.148 eV/atom
SG = No. 225
Energy above the lowest structure with this stoichiometry = 0.120 eV per atom
Calculated volume = 17.707 Å³/atom

---

# 13
Material: Sb2OsPtI
Method: DFT, GGA-PBE
State: relaxed

```
5
Lattice="5.012 0.000 0.000 0.000 5.012 0.000 0.000 0.000 5.532" Properties=species:S:1:pos:R:3 pbc="T T T"
Sb 0.000 2.506 0.000
Sb 2.506 0.000 0.000
Os 0.000 0.000 0.000
Pt 2.506 2.506 2.766
I 0.000 0.000 2.766
```

Values from the calculation:
M_tot = 0.000 μB per atom
Raw formation energy = 1021 meV/atom
VASP energy = -4.392 eV/atom
SG = No. 123
Energy above the lowest structure with this stoichiometry = 0.000 eV per atom
Calculated volume = 27.785 Å³/atom

---

# 14
Material: SbOsPtI2
Method: DFT, GGA-PBE
State: relaxed

```
5
Lattice="5.369 0.000 0.000 0.000 5.369 0.000 0.000 0.000 5.021" Properties=species:S:1:pos:R:3 pbc="T T T"
Sb 0.000 0.000 0.000
Os 0.000 0.000 2.511
Pt 2.685 2.685 0.000
I 0.000 2.685 2.511
I 2.685 0.000 2.511
```

Values from the calculation:
M_tot = 0.000 μB per atom
Raw formation energy = 1210 meV/atom
VASP energy = -3.689 eV/atom
SG = No. 123
Energy above the lowest structure with this stoichiometry = 0.000 eV per atom
Calculated volume = 28.952 Å³/atom

---

# 15
Material: TcOs2PtI
Method: DFT, GGA-PBE
State: relaxed

```
5
Lattice="4.844 0.000 0.000 0.000 4.844 0.000 0.000 0.000 5.065" Properties=species:S:1:pos:R:3 pbc="T T T"
Tc 0.000 0.000 0.000
Os 0.000 2.422 2.533
Os 2.422 0.000 2.533
Pt 0.000 0.000 2.533
I 2.422 2.422 0.000
```

Values from the calculation:
M_tot = 1.299 μB per atom
Raw formation energy = 2343 meV/atom
VASP energy = -5.741 eV/atom
SG = No. 123
Calculated volume = 23.772 Å³/atom

---

# 16
Material: TeOsPtI2
Method: DFT, GGA-PBE
State: relaxed

```
5
Lattice="5.469 0.000 0.000 0.000 5.469 0.000 0.000 0.000 4.955" Properties=species:S:1:pos:R:3 pbc="T T T"
Te 0.000 0.000 0.000
Os 0.000 0.000 2.478
Pt 2.735 2.735 0.000
I 0.000 2.735 2.478
I 2.735 0.000 2.478
```

Values from the calculation:
M_tot = 0.021 μB per atom
Raw formation energy = 1224 meV/atom
VASP energy = -3.479 eV/atom
SG = No. 123
Energy above the lowest structure with this stoichiometry = 0.000 eV per atom
Calculated volume = 29.647 Å³/atom

---

# 17
Material: VOsPtI2
Method: DFT, GGA-PBE
State: relaxed

```
5
Lattice="5.370 0.000 0.000 0.000 5.370 0.000 0.000 0.000 4.833" Properties=species:S:1:pos:R:3 pbc="T T T"
V 0.000 0.000 0.000
Os 2.685 2.685 0.000
Pt 2.685 2.685 2.416
I 0.000 2.685 2.416
I 2.685 0.000 2.416
```

Values from the calculation:
M_tot = 0.019 μB per atom
Raw formation energy = 1833 meV/atom
VASP energy = -4.065 eV/atom
SG = No. 123
Calculated volume = 27.869 Å³/atom

---

# 18
Material: YOsPt2I
Method: DFT, GGA-PBE
State: relaxed

```
5
Lattice="5.147 0.000 0.000 0.000 5.147 0.000 0.000 0.000 5.636" Properties=species:S:1:pos:R:3 pbc="T T T"
Y 0.000 0.000 0.000
Os 2.574 2.574 2.818
Pt 0.000 2.574 0.000
Pt 2.574 0.000 0.000
I 0.000 0.000 2.818
```

Values from the calculation:
M_tot = 0.701 μB per atom
Raw formation energy = 1623 meV/atom
VASP energy = -4.642 eV/atom
SG = No. 123
Calculated volume = 29.863 Å³/atom

---

# 19
Material: Pu4OsI5
Method: DFT, GGA-PBE
State: relaxed

```
10
Lattice="9.544 -2.103 0.000 9.544 2.103 0.000 -1.950 0.000 8.673" Properties=species:S:1:pos:R:3 pbc="T T T"
Pu -0.556 0.000 2.527
Pu 5.922 0.000 3.724
Pu 11.216 0.000 4.949
Pu 17.694 0.000 6.146
Os 8.569 0.000 4.336
I 1.559 0.000 7.296
I 2.689 0.000 2.775
I 9.544 0.000 0.000
I 14.449 0.000 5.898
I 15.579 0.000 1.377
```

Values from the calculation:
M_tot = 2.270 μB per atom
Raw formation energy = -780 meV/atom
VASP energy = -8.411 eV/atom
SG = No. 12
Calculated volume = 34.813 Å³/atom

---

# 20
Material: Pu2OsI
Method: DFT, GGA-PBE
State: relaxed

```
4
Lattice="3.471 0.000 0.000 0.000 3.471 0.000 0.000 0.000 8.097" Properties=species:S:1:pos:R:3 pbc="T T T"
Pu 0.000 0.000 1.651
Pu 0.000 0.000 6.446
Os 1.735 1.735 0.000
I 1.735 1.735 4.049
```

Values from the calculation:
M_tot = 2.625 μB per atom
Raw formation energy = -272 meV/atom
VASP energy = -10.633 eV/atom
SG = No. 123
Calculated volume = 24.382 Å³/atom

---

# 21
Material: PuThOsI
Method: DFT, GGA-PBE
State: relaxed

```
4
Lattice="2.052 1.185 8.145 -2.052 1.185 8.145 0.000 -2.369 8.145" Properties=species:S:1:pos:R:3 pbc="T T T"
Pu 0.000 0.000 0.000
Th 0.000 0.000 19.250
Os 0.000 0.000 9.566
I 0.000 0.000 13.759
```

Values from the calculation:
M_tot = 1.284 μB per atom
Raw formation energy = -452 meV/atom
VASP energy = -9.085 eV/atom
SG = No. 160
Calculated volume = 29.696 Å³/atom

---

# 22
Material: Rb2OsI
Method: DFT, GGA-PBE
State: relaxed

```
8
Lattice="-6.485 6.485 2.509 6.485 -6.485 2.509 6.485 6.485 -2.509" Properties=species:S:1:pos:R:3 pbc="T T T"
Rb 0.713 3.243 0.627
Rb -3.243 5.772 1.882
Rb -0.713 9.728 0.627
Rb 3.243 7.198 1.882
Os 0.000 0.000 0.000
Os 0.000 6.485 1.254
I 6.485 0.000 1.254
I 0.000 0.000 2.509
```

Values from the calculation:
M_tot = 0.004 μB per atom
Raw formation energy = 709 meV/atom
VASP energy = -2.969 eV/atom
SG = No. 122
Energy above the lowest structure with this stoichiometry = 0.000 eV per atom
Calculated volume = 52.758 Å³/atom

---

# 23
Material: Rb3OsI6
Method: DFT, GGA-PBE
State: relaxed

```
10
Lattice="0.000 6.148 6.148 6.148 0.000 6.148 6.148 6.148 0.000" Properties=species:S:1:pos:R:3 pbc="T T T"
Rb 0.000 0.000 0.000
Rb 3.074 3.074 3.074
Rb 9.221 9.221 9.221
Os 6.148 6.148 6.148
I 6.148 6.148 3.439
I 6.148 3.439 6.148
I 8.856 6.148 6.148
I 3.439 6.148 6.148
I 6.148 8.856 6.148
I 6.148 6.148 8.856
```

Values from the calculation:
M_tot = 0.100 μB per atom
Raw formation energy = -712 meV/atom
VASP energy = -3.055 eV/atom
SG = No. 225
Calculated volume = 46.467 Å³/atom

---

# 24
Material: Rb2OsI
Method: DFT, GGA-PBE
State: relaxed

```
4
Lattice="0.000 4.394 4.394 4.394 0.000 4.394 4.394 4.394 0.000" Properties=species:S:1:pos:R:3 pbc="T T T"
Rb 2.197 2.197 2.197
Rb 6.591 6.591 6.591
Os 0.000 0.000 0.000
I 4.394 4.394 4.394
```

Values from the calculation:
M_tot = 0.750 μB per atom
Raw formation energy = 790 meV/atom
VASP energy = -2.889 eV/atom
SG = No. 225
Energy above the lowest structure with this stoichiometry = 0.081 eV per atom
Calculated volume = 42.419 Å³/atom

---

# 25
Material: RbOs2I
Method: DFT, GGA-PBE
State: relaxed

```
4
Lattice="0.000 3.427 3.427 3.427 0.000 3.427 3.427 3.427 0.000" Properties=species:S:1:pos:R:3 pbc="T T T"
Rb 0.000 0.000 0.000
Os 1.714 1.714 1.714
Os 5.141 5.141 5.141
I 3.427 3.427 3.427
```

Values from the calculation:
M_tot = 0.000 μB per atom
Raw formation energy = 2322 meV/atom
VASP energy = -3.923 eV/atom
SG = No. 225
Energy above the lowest structure with this stoichiometry = 0.229 eV per atom
Calculated volume = 20.127 Å³/atom